# 1
# TaFeNiRu, optimized geometry, DFT PBE
# Total magnetic moment ... 0.763 μB per atom
# Energy above the lowest structure with this stoichiometry ... 142.4 meV/atom
# Total DFT energy (no corrections) ... -142.77 eV/cell
# Energy of formation ... -0.080 eV/atom
data_TaFeNiRu
_cell_length_a 6.0690
_cell_length_b 6.0690
_cell_length_c 6.0690
_cell_angle_alpha 90.00
_cell_angle_beta 90.00
_cell_angle_gamma 90.00
_space_group_name_H-M_alt 'F -4 3 m'
_space_group_IT_number 216
_space_group_name_Hall 'F -4 2 3'
loop_
_atom_site_label
_atom_site_fract_x
_atom_site_fract_y
_atom_site_fract_z
Ta1 0.0000 0.0000 0.0000
Fe1 0.0000 0.0000 0.5000
Ni1 0.2500 0.2500 0.2500
Ru1 0.2500 0.2500 0.7500

=====

# 2
# TiFeNiRu, optimized geometry, DFT PBE
# Total magnetic moment ... 0.940 μB per atom
# Total DFT energy (no corrections) ... -129.19 eV/cell
# Energy of formation ... -0.220 eV/atom
data_TiFeNiRu
_cell_length_a 5.9743
_cell_length_b 5.9743
_cell_length_c 5.9743
_cell_angle_alpha 90.00
_cell_angle_beta 90.00
_cell_angle_gamma 90.00
_space_group_name_H-M_alt 'F -4 3 m'
_space_group_IT_number 216
_space_group_name_Hall 'F -4 2 3'
loop_
_atom_site_label
_atom_site_fract_x
_atom_site_fract_y
_atom_site_fract_z
Ti1 0.0000 0.0000 0.0000
Fe1 0.0000 0.0000 0.5000
Ni1 0.2500 0.2500 0.7500
Ru1 0.2500 0.2500 0.2500

=====

# 3
# Tl2FeNiRu, optimized geometry, DFT PBE
# Total magnetic moment ... 0.688 μB per atom
# Total DFT energy (no corrections) ... -22.09 eV/cell
# Energy of formation ... 1.233 eV/atom
data_Tl2FeNiRu
_cell_length_a 5.2338
_cell_length_b 5.2338
_cell_length_c 4.4735
_cell_angle_alpha 90.00
_cell_angle_beta 90.00
_cell_angle_gamma 90.00
_space_group_name_H-M_alt 'P 4/m m m'
_space_group_IT_number 123
_space_group_name_Hall '-P 4 2'
loop_
_atom_site_label
_atom_site_fract_x
_atom_site_fract_y
_atom_site_fract_z
Tl1 0.0000 0.5000 0.0000
Fe1 0.0000 0.0000 0.5000
Ni1 0.5000 0.5000 0.5000
Ru1 0.5000 0.5000 0.0000

=====

What is the total magnetic moment in the second record?
0.940 μB per atom

=====

Among the records above, which one has the lowest total DFT energy (no corrections)?
TaFeNiRu

=====

What is the energy of formation in the second record?
-0.220 eV/atom